# NiBrN2O

A relaxed structure of NiBrN2O (GGA+U, Alexandria via LeMat-Bulk).

a = 3.906 Å, b = 3.906 Å, c = 3.857 Å
α = 90.00°, β = 90.00°, γ = 90.00°
Last column: magnetic moment on the atom in μB.
Fractional coordinates of all 5 atoms:
Ni1 0.500 0.500 0.500  1.70
O1 0.000 0.000 0.500  0.07
N1 0.000 0.500 0.000  0.19
N2 0.500 0.000 0.000  0.19
Br1 0.000 0.000 0.000  0.02

Summary:
V: 11.77 A^3/atom
Final energy: -3.00 eV/atom
Symmetry: No. 123